[1]
A plane-wave DFT calculation with PBE-GGA was carried out for a relaxed BP2OF crystal.

Computed properties:
Raw formation energy, eV per atom: 0.0432
DOS(E_F), states/eV/atom: 0.639
Calculated total energy, eV for the cell shown: -24.1

abc: 4.9140 4.9140 2.6516
angles: 90.00 90.00 90.00
Space group P4/mmm (No. 123)
Asymmetric unit:
B: 0.0000 0.0000 0.0000
P: 0.0000 0.5000 0.0000
O: 0.0000 0.0000 0.5000
F: 0.5000 0.5000 0.5000

[2]
A plane-wave DFT calculation with PBE-GGA was carried out for a relaxed BPO2F crystal.

Computed properties:
Raw formation energy, eV per atom: 1.6974
DOS(E_F), states/eV/atom: 0.525
Calculated total energy, eV for the cell shown: -15.4

abc: 3.9186 3.9186 3.7652
angles: 90.00 90.00 90.00
Space group P4/mmm (No. 123)
Asymmetric unit:
B: 0.0000 0.0000 0.0000
P: 0.5000 0.5000 0.0000
O: 0.0000 0.5000 0.5000
F: 0.5000 0.5000 0.5000

[3]
A plane-wave DFT calculation with PBE-GGA was carried out for a relaxed BP2OF crystal.

Computed properties:
Raw formation energy, eV per atom: 1.5718
DOS(E_F), states/eV/atom: 0.515
Calculated total energy, eV for the cell shown: -16.5

abc: 4.0201 4.0201 4.3055
angles: 90.00 90.00 90.00
Space group P4/mmm (No. 123)
Asymmetric unit:
B: 0.0000 0.0000 0.0000
P: 0.0000 0.5000 0.5000
O: 0.5000 0.5000 0.0000
F: 0.5000 0.5000 0.5000

[4]
A plane-wave DFT calculation with PBE-GGA was carried out for a relaxed BPO2F crystal.

Computed properties:
Raw formation energy, eV per atom: -0.0704
DOS(E_F), states/eV/atom: 0.116
Calculated total energy, eV for the cell shown: -24.2

abc: 3.5165 3.5165 4.2450
angles: 90.00 90.00 90.00
Space group P4/mmm (No. 123)
Asymmetric unit:
B: 0.0000 0.0000 0.0000
P: 0.5000 0.5000 0.5000
O: 0.0000 0.5000 0.5000
F: 0.5000 0.5000 0.0000

[5]
A plane-wave DFT calculation with PBE-GGA was carried out for a relaxed BPO2F crystal.

Computed properties:
Raw formation energy, eV per atom: -0.3039
DOS(E_F), states/eV/atom: 0.466
Calculated total energy, eV for the cell shown: -25.4

abc: 3.1000 3.1000 5.2622
angles: 90.00 90.00 90.00
Space group P4/mmm (No. 123)
Asymmetric unit:
B: 0.0000 0.0000 0.0000
P: 0.0000 0.0000 0.5000
O: 0.0000 0.5000 0.0000
F: 0.5000 0.5000 0.5000

[6]
A plane-wave DFT calculation with PBE-GGA was carried out for a relaxed BPb2O3F crystal.

Computed properties:
Raw formation energy, eV per atom: -1.9101
DOS(E_F), states/eV/atom: 0.000
Calculated total energy, eV for the cell shown: -265.3

abc: 7.4192 7.4192 14.9458
angles: 90.00 90.00 120.00
Space group P6_3/m (No. 176)
Asymmetric unit:
B: 0.0039 0.3671 0.2500
Pb: 0.0186 0.6932 0.1083
O: 0.0007 0.7236 0.6680
O: 0.0107 0.5582 0.2500
F: 0.0000 0.0000 0.0000
F: 0.3333 0.6667 0.0572

[7]
A plane-wave DFT calculation with PBE-GGA was carried out for a relaxed BPb3O4F crystal.

Computed properties:
Raw formation energy, eV per atom: -1.7296
DOS(E_F), states/eV/atom: 0.000
Calculated total energy, eV for the cell shown: -220.3

abc: 7.9051 6.6899 12.1098
angles: 90.00 90.00 90.00
Space group Pbcm (No. 57)
Asymmetric unit:
B: 0.0207 0.2500 0.0000
Pb: 0.1036 0.0608 0.2500
Pb: 0.3229 0.5286 0.1039
O: 0.0671 0.6989 0.0957
O: 0.1902 0.0918 0.7500
O: 0.1962 0.2500 0.0000
F: 0.4095 0.7213 0.7500

[8]
A plane-wave DFT calculation with PBE-GGA was carried out for a relaxed BPbO2F crystal.

Computed properties:
Raw formation energy, eV per atom: 0.1909
DOS(E_F), states/eV/atom: 0.333
Calculated total energy, eV for the cell shown: -21.2

abc: 4.2586 4.2586 4.4213
angles: 90.00 90.00 90.00
Space group P4/mmm (No. 123)
Asymmetric unit:
B: 0.0000 0.0000 0.0000
Pb: 0.5000 0.5000 0.5000
O: 0.0000 0.5000 0.5000
F: 0.5000 0.5000 0.0000